A plane-wave DFT calculation with PBE was carried out for Pm2AlGe4Pt3 after structural relaxation.

Cell: 4.2302 4.2302 10.7736 Å, 90.00 90.00 90.00°
Space group P-4m2 (No. 115)
Symmetry-distinct sites (fractional):
Pm 0.0000 0.5000 0.2489 (multiplicity 2)
Al 0.0000 0.0000 0.5000 (multiplicity 1)
Ge 0.0000 0.0000 0.0000 (multiplicity 1)
Ge 0.0000 0.5000 0.6419 (multiplicity 2)
Ge 0.5000 0.5000 0.0000 (multiplicity 1)
Pt 0.0000 0.5000 0.8700 (multiplicity 2)
Pt 0.5000 0.5000 0.5000 (multiplicity 1)

Values from the calculation:
calculated volume = 192.8 Å³/cell
energy of formation from the pure elements = -84 kJ/mol of atoms
crystal system = tetragonal
D(E_F) = 4.4 states/eV per cell


A plane-wave DFT calculation with PBE was carried out for PmAlGePt3 after structural relaxation.

Cell: 5.6785 15.9797 5.6445 Å, 90.00 90.00 90.00°
Space group Cmcm (No. 63)
Symmetry-distinct sites (fractional):
Pm 0.0000 0.1900 0.2500 (multiplicity 4)
Al 0.0000 0.4050 0.7500 (multiplicity 4)
Ge 0.0000 0.0952 0.7500 (multiplicity 4)
Pt 0.0000 0.2509 0.7500 (multiplicity 4)
Pt 0.2489 0.5000 0.0000 (multiplicity 8)

Values from the calculation:
calculated volume = 512.2 Å³/cell
energy of formation from the pure elements = -77 kJ/mol of atoms
crystal system = orthorhombic
D(E_F) = 10.7 states/eV per cell


A plane-wave DFT calculation with PBE was carried out for PmAl2GePt4 after structural relaxation.

Cell: 4.3144 4.3144 26.5208 Å, 90.00 90.00 120.00°
Space group R-3m (No. 166, hexagonal axes)
Symmetry-distinct sites (fractional):
Pm 0.0000 0.0000 0.0000 (multiplicity 3)
Al 0.0000 0.0000 0.2444 (multiplicity 6)
Ge 0.0000 0.0000 0.5000 (multiplicity 3)
Pt 0.0000 0.0000 0.1345 (multiplicity 6)
Pt 0.0000 0.0000 0.4039 (multiplicity 6)

Values from the calculation:
calculated volume = 427.5 Å³/cell
energy of formation from the pure elements = -83 kJ/mol of atoms
crystal system = trigonal
D(E_F) = 7.9 states/eV per cell


A plane-wave DFT calculation with PBE was carried out for Pm3AlGe2Rh9 after structural relaxation.

Cell: 6.4597 6.4597 7.9635 Å, 90.00 90.00 120.00°
Space group P-3m1 (No. 164)
Symmetry-distinct sites (fractional):
Pm 0.0000 0.0000 0.0000 (multiplicity 1)
Pm 0.3333 0.6667 0.6633 (multiplicity 2)
Al 0.0000 0.0000 0.5000 (multiplicity 1)
Ge 0.3333 0.6667 0.1721 (multiplicity 2)
Rh 0.0000 0.5000 0.0000 (multiplicity 3)
Rh 0.1606 0.3212 0.3257 (multiplicity 6)

Values from the calculation:
calculated volume = 287.8 Å³/cell
energy of formation from the pure elements = -38 kJ/mol of atoms
crystal system = trigonal
D(E_F) = 11.5 states/eV per cell


A plane-wave DFT calculation with PBE was carried out for Pm2AlGeRh6 after structural relaxation.

Cell: 11.2869 5.6118 7.7950 Å, 90.00 133.11 90.00°
Space group C2/m (No. 12)
Symmetry-distinct sites (fractional):
Pm 0.0117 0.0000 0.2641 (multiplicity 4)
Al 0.0000 0.5000 0.5000 (multiplicity 2)
Ge 0.0000 0.5000 0.0000 (multiplicity 2)
Rh 0.1811 0.5000 0.9296 (multiplicity 4)
Rh 0.2485 0.2497 0.2905 (multiplicity 8)

Values from the calculation:
calculated volume = 360.4 Å³/cell
energy of formation from the pure elements = -55 kJ/mol of atoms
crystal system = monoclinic
D(E_F) = 14.4 states/eV per cell


A plane-wave DFT calculation with PBE was carried out for Pm2AlGe4Rh3 after structural relaxation.

Cell: 4.2227 4.2227 10.4615 Å, 90.00 90.00 90.00°
Space group P-4m2 (No. 115)
Symmetry-distinct sites (fractional):
Pm 0.0000 0.5000 0.2408 (multiplicity 2)
Al 0.0000 0.0000 0.5000 (multiplicity 1)
Ge 0.0000 0.0000 0.0000 (multiplicity 1)
Ge 0.0000 0.5000 0.6448 (multiplicity 2)
Ge 0.5000 0.5000 0.0000 (multiplicity 1)
Rh 0.0000 0.5000 0.8775 (multiplicity 2)
Rh 0.5000 0.5000 0.5000 (multiplicity 1)

Values from the calculation:
calculated volume = 186.5 Å³/cell
energy of formation from the pure elements = -76 kJ/mol of atoms
crystal system = tetragonal
D(E_F) = 5.5 states/eV per cell